The following is a PBE-GGA calculation of a relaxed YCo3Ag crystal, from Alexandria.

The structure in extended XYZ format:
```
5
Lattice="-0.584 -3.090 -3.437 -0.109 -3.455 3.124 -4.621 0.473 0.361" Properties=species:S:1:pos:R:3 pbc="T T T"
Ag 0.000 0.000 0.000
Y -2.657 -3.036 0.024
Co -2.310 0.236 0.180
Co -0.055 -1.727 1.562
Co -0.292 -1.545 -1.719
```

Properties
Total magnetization ... 4.8 μB/f.u.
Energy above the most stable polymorph in this dataset ... 0.0 kJ/mol of atoms
VASP energy ... -25.27 eV per cell
Energy of formation from the pure elements ... 1073 meV/atom


The following is a PBE-GGA calculation of a relaxed BaInHg2O crystal, from Alexandria.

The structure in extended XYZ format:
```
5
Lattice="5.943 0.000 0.000 0.000 4.264 0.000 0.000 0.000 5.943" Properties=species:S:1:pos:R:3 pbc="T T T"
Ba 2.972 2.132 2.972
Hg 0.000 0.000 2.972
Hg 2.972 0.000 0.000
O 0.000 0.000 0.000
In 0.000 2.132 0.000
```

Properties
Formation energy without anion corrections ... -1.753 eV per formula unit
Total magnetization ... 0.0 μB/f.u.
VASP energy ... -11.98 eV per cell


The following is a PBE-GGA calculation of a relaxed Na2CuPbF6 crystal, from Alexandria.

The structure in extended XYZ format:
```
20
Lattice="-3.034 -2.831 -3.975 -2.560 -3.134 4.186 -5.938 6.523 1.253" Properties=species:S:1:pos:R:3 pbc="T T T"
Na -7.621 2.043 -2.683
Na -7.400 1.583 1.156
Na -4.132 -1.024 0.308
Na -3.911 -1.484 4.147
F -5.531 -2.640 -0.535
F -8.469 2.869 -0.460
F -5.396 -0.454 2.227
F -7.773 1.070 3.370
F -6.001 3.199 1.999
F -3.759 -0.512 -1.906
F -7.893 -0.887 1.128
F -1.519 -0.674 0.384
F -3.638 1.446 0.336
F -6.136 1.012 -0.763
F -3.062 -2.311 1.924
F -10.012 1.232 1.080
Pb -1.517 -1.415 -1.987
Pb -4.249 1.695 2.719
Cu -4.486 1.846 -1.361
Cu -1.280 -1.567 2.093
```

Properties
Formation energy without anion corrections ... -22.469 eV per formula unit
Total magnetization ... 1.0 μB/f.u.
VASP energy ... -88.28 eV per cell


The following is a PBE-GGA calculation of a relaxed AcYF crystal, from Alexandria.

The structure in extended XYZ format:
```
3
Lattice="-2.614 0.106 2.927 1.946 -3.320 -0.775 4.371 1.666 3.843" Properties=species:S:1:pos:R:3 pbc="T T T"
Y 0.809 -0.311 3.366
F 3.188 -1.125 2.888
Ac 4.078 1.554 3.585
```

Properties
Formation energy without anion corrections ... -4.459 eV per formula unit
Total magnetization ... 0.0 μB/f.u.
VASP energy ... -16.90 eV per cell


The following is a PBE-GGA calculation of a relaxed PbSe2Br crystal, from Alexandria.

The structure in extended XYZ format:
```
4
Lattice="-0.467 -4.460 -6.002 3.048 -5.625 -3.900 -0.767 -6.989 -2.589" Properties=species:S:1:pos:R:3 pbc="T T T"
Br 0.454 -4.269 -3.123
Se 0.014 -0.135 -0.099
Se 0.893 -8.402 -6.147
Pb 1.361 -12.806 -9.368
```

Properties
Formation energy without anion corrections ... 0.086 eV per formula unit
Total magnetization ... 0.0 μB/f.u.
Energy above the most stable polymorph in this dataset ... 34.5 kJ/mol of atoms
VASP energy ... -12.26 eV per cell